Material: La2AgRh
Method: DFT, PBEsol
State: optimized geometry

Summary:
- D(E_F): 2.6 states/eV/cell
- Formation enthalpy at 0 K: -0.44 eV per atom
- Crystal system: orthorhombic
- Space-group type: No. 38

a b c (Å): 4.515 5.765 5.765
angles (deg): 41.46 90.00 90.00
Positions (direct):
1 La 0.000 0.000 0.000
2 La 0.500 0.285 0.285
3 Ag 0.500 0.574 0.574
4 Rh 0.000 0.752 0.752